# 1
Ca2AcPuO6, optimized geometry, DFT GGA-PBE; symmetry = No. 146; total magnetic moment = 3.00 Bohr magnetons per cell; raw formation energy = -3023 meV/atom
1.0
2.9947 1.7290 5.2044
-2.9947 1.7290 5.2044
0.0000 -3.4580 5.2044
Ca Ac Pu O
2 1 1 6
direct
0.0000 0.0000 0.0000
0.4897 0.4897 0.4897
0.2173 0.2173 0.2173
0.7028 0.7028 0.7028
0.0703 0.4328 0.8054
0.3346 0.8805 0.6231
0.4328 0.8054 0.0703
0.6231 0.3346 0.8805
0.8054 0.0703 0.4328
0.8805 0.6231 0.3346


# 2
Pm4Mg7Cd, optimized geometry, DFT GGA-PBE; symmetry = No. 12; total magnetic moment = 0.00 Bohr magnetons per cell; E = -2.519 eV/atom
1.0
5.6397 -2.7820 0.0000
5.6397 2.7820 0.0000
-4.5661 0.0000 10.8111
Pm Mg Cd
4 7 1
direct
0.0544 0.0544 0.3642
0.3737 0.3737 0.2183
0.6263 0.6263 0.7817
0.9456 0.9456 0.6358
0.0000 0.0000 0.0000
0.2245 0.2245 0.9218
0.2702 0.2702 0.6851
0.3664 0.3664 0.4826
0.6336 0.6336 0.5174
0.7298 0.7298 0.3149
0.7755 0.7755 0.0782
0.5000 0.5000 0.0000